(1)
A relaxed structure of Li4N, computed with PBE-GGA.

Results
N(E_F) in states/eV per cell: 3.46
Total energy in eV/atom: -3.44
Energy relative to the elements, uncorrected in eV/atom: -0.247
Space-group type: Fddd, No. 70
Energy above the most stable polymorph in this dataset in eV/atom: 0.000

abc: 5.5201 5.5201 5.4933
angles: 108.46 108.46 111.71
With the nearest neighbours (Å) after each atom.
Sites, in units of the cell vectors:
N 0.3304 0.3304 0.0000  8 Li 1.99-2.18
N 0.5804 0.0804 0.5000  8 Li 1.99-2.18
Li 0.6164 0.8116 0.1907  2 N 1.99-2.18, 1 Li 2.15
Li 0.6756 0.3709 0.3093  2 N 1.99-2.18, 1 Li 2.15
Li 0.0616 0.3664 0.6907  2 N 1.99-2.18, 1 Li 2.15
Li 0.2352 0.0395 0.1904  2 N 1.99-2.18, 1 Li 2.15
Li 0.6209 0.4256 0.8093  2 N 1.99-2.18, 1 Li 2.15
Li 0.2948 0.5992 0.3096  2 N 1.99-2.18, 1 Li 2.15
Li 0.8492 0.0448 0.8096  2 N 1.99-2.18, 1 Li 2.15
Li 0.2895 0.9852 0.6904  2 N 1.99-2.18, 1 Li 2.15

(2)
A relaxed structure of SmIn4Pd15, computed with PBE-GGA.

Results
N(E_F) in states/eV per cell: 17.42
Total energy in eV/atom: -5.18
E_form in eV per atom: -0.50
Space-group type: P4/mmm, No. 123

abc: 4.0859 4.0859 20.1483
angles: 90.00 90.00 90.00
With the nearest neighbours (Å) after each atom.
Sites, in units of the cell vectors:
Pd 0.0000 0.5000 0.3032  4 In 2.84, 8 Pd 2.85-2.89
Pd 0.5000 0.5000 0.7962  8 Pd 2.84-2.86, 4 In 2.89
Pd 0.0000 0.5000 0.1062  8 Pd 2.84-2.96, 2 In 2.86, 2 Sm 2.96
Pd 0.5000 0.0000 0.6968  4 In 2.84, 8 Pd 2.85-2.89
Pd 0.5000 0.5000 0.4017  8 Pd 2.84-2.85, 4 In 2.89
Pd 0.5000 0.0000 0.8938  8 Pd 2.84-2.96, 2 In 2.86, 2 Sm 2.96
Pd 0.0000 0.5000 0.6968  4 In 2.84, 8 Pd 2.85-2.89
Pd 0.5000 0.0000 0.1062  8 Pd 2.84-2.96, 2 In 2.86, 2 Sm 2.96
Pd 0.5000 0.0000 0.3032  4 In 2.84, 8 Pd 2.85-2.89
Pd 0.0000 0.5000 0.5000  8 Pd 2.84-2.89, 4 In 2.85
Pd 0.5000 0.0000 0.5000  8 Pd 2.84-2.89, 4 In 2.85
Pd 0.5000 0.5000 0.0000  4 Sm 2.89, 8 Pd 2.96
Pd 0.5000 0.5000 0.5983  8 Pd 2.84-2.85, 4 In 2.89
Pd 0.5000 0.5000 0.2038  8 Pd 2.84-2.86, 4 In 2.89
Pd 0.0000 0.5000 0.8938  8 Pd 2.84-2.96, 2 In 2.86, 2 Sm 2.96
In 0.0000 0.0000 0.4014  12 Pd 2.84-2.89
In 0.0000 0.0000 0.7944  12 Pd 2.84-2.89
In 0.0000 0.0000 0.5986  12 Pd 2.84-2.89
In 0.0000 0.0000 0.2056  12 Pd 2.84-2.89
Sm 0.0000 0.0000 0.0000  12 Pd 2.89-2.96

(3)
A relaxed structure of ZrIrNO2, computed with PBE-GGA.

Results
N(E_F) in states/eV per cell: 4.65
Total energy in eV/atom: -7.22
Energy relative to the elements, uncorrected in eV/atom: -0.094
Space-group type: P4/mmm, No. 123

abc: 4.0476 4.0476 4.3999
angles: 90.00 90.00 90.00
With the nearest neighbours (Å) after each atom.
Sites, in units of the cell vectors:
Zr 0.0000 0.0000 0.0000  4 O 2.02, 2 N 2.20
O 0.5000 0.0000 0.0000  2 Zr 2.02
O 0.0000 0.5000 0.0000  2 Zr 2.02
Ir 0.5000 0.5000 0.5000  4 N 2.86, 8 O 2.99
N 0.0000 0.0000 0.5000  2 Zr 2.20